1.
Here is a relaxed NdDy3Rh crystal from Alexandria. Energies are from PBE.

Structure (POSCAR):
```
NdDy3Rh
1.0
5.426 0.000 0.000
0.000 5.426 0.000
0.000 0.000 5.426
Rh Dy Nd
1 3 1
direct
0.000 0.000 0.000 Rh
0.000 0.500 0.000 Dy
0.500 0.000 0.000 Dy
0.000 0.000 0.500 Dy
0.500 0.500 0.500 Nd
```

Summary:
The formation energy is -24.1 kJ per mole of atoms. Its calculated density is 7.6 g/cm3. As for the density of states at the Fermi level: 7.96 states/eV/f.u.

=====

2.
Here is a relaxed RbPuAu10 crystal from Alexandria. Energies are from PBE.

Structure (POSCAR):
```
RbPuAu10
1.0
-0.895 1.071 -4.412
-5.594 0.263 1.199
0.920 9.693 2.165
Au Pu Rb
10 1 1
direct
0.500 0.256 0.260 Au
0.500 0.744 0.260 Au
0.000 0.000 0.340 Au
0.500 0.000 0.500 Au
0.500 0.744 0.740 Au
0.000 0.500 0.824 Au
0.500 0.500 0.000 Au
0.000 0.000 0.660 Au
0.500 0.256 0.740 Au
0.000 0.500 0.176 Au
0.000 0.500 0.500 Pu
0.000 0.000 0.000 Rb
```

Summary:
The formation energy is -18.7 kJ per mole of atoms. Its calculated density is 14.4 g/cm3. As for the density of states at the Fermi level: 22.84 states/eV/f.u.

=====

3.
Here is a relaxed CrCdTc crystal from Alexandria. Energies are from PBE.

Structure (POSCAR):
```
CrCdTc
1.0
4.243 0.000 0.000
2.122 3.675 0.000
2.122 1.225 3.464
Cd Cr Tc
1 1 1
direct
0.500 0.500 0.500 Cd
0.250 0.250 0.250 Cr
0.000 0.000 0.000 Tc
```

Summary:
The formation energy is 80.7 kJ per mole of atoms. The relative energy among the computed polymorphs comes out at 568 meV/atom. Its calculated density is 8.1 g/cm3. As for the density of states at the Fermi level: 3.95 states/eV/f.u.

=====

4.
Here is a relaxed KPtAu crystal from Alexandria. Energies are from PBE.

Structure (POSCAR):
```
KPtAu
1.0
2.923 0.000 0.000
-1.462 2.532 0.000
0.000 0.000 8.029
Au K Pt
1 1 1
direct
0.000 0.000 0.984 Au
0.667 0.333 0.342 K
0.333 0.667 0.674 Pt
```

Summary:
The formation energy is 21.8 kJ per mole of atoms. The relative energy among the computed polymorphs comes out at 477 meV/atom. Its calculated density is 12.0 g/cm3. As for the density of states at the Fermi level: 0.84 states/eV/f.u.

=====

5.
Here is a relaxed Pa2Ge3Ir4Pd crystal from Alexandria. Energies are from PBE.

Structure (POSCAR):
```
Pa2Ge3Ir4Pd
1.0
-2.942 2.693 -0.378
-1.963 -2.488 -2.451
-5.337 -4.578 8.923
Ir Pa Ge Pd
4 2 3 1
direct
0.500 0.000 0.666 Ir
0.500 0.500 0.000 Ir
0.000 0.000 0.000 Ir
0.000 0.500 0.334 Ir
0.000 0.500 0.743 Pa
0.500 0.000 0.257 Pa
0.000 0.000 0.500 Ge
0.000 0.500 0.123 Ge
0.500 0.000 0.877 Ge
0.500 0.500 0.500 Pd
```

Summary:
The formation energy is -60.8 kJ per mole of atoms. Its calculated density is 14.2 g/cm3. As for the density of states at the Fermi level: 10.16 states/eV/f.u.

=====

6.
Here is a relaxed Pu2MnIn8 crystal from Alexandria. Energies are from PBE.

Structure (POSCAR):
```
Pu2MnIn8
1.0
-0.478 -4.245 -1.939
4.494 -0.945 0.961
-3.289 -4.591 10.862
In Pu Mn
8 2 1
direct
0.500 0.500 0.687 In
0.500 0.000 0.875 In
0.000 0.500 0.500 In
0.000 0.500 0.125 In
0.000 0.500 0.875 In
0.500 0.000 0.500 In
0.500 0.000 0.125 In
0.500 0.500 0.313 In
0.000 0.000 0.309 Pu
0.000 0.000 0.691 Pu
0.000 0.000 0.000 Mn
```

Summary:
The formation energy is -12.5 kJ per mole of atoms. Its calculated density is 9.0 g/cm3. As for the density of states at the Fermi level: 26.65 states/eV/f.u.

=====

7.
Here is a relaxed Rb2NaF crystal from Alexandria. Energies are from PBE.

Structure (POSCAR):
```
Rb2NaF
1.0
3.753 0.000 0.000
0.000 3.753 0.000
0.000 0.000 10.463
Na Rb F
1 2 1
direct
0.500 0.500 0.500 Na
0.000 0.000 0.837 Rb
0.000 0.000 0.163 Rb
0.500 0.500 0.000 F
```

Summary:
Its uncorrected formation energy is -1.162 eV per atom. The relative energy among the computed polymorphs comes out at 90 meV/atom. Its calculated density is 2.4 g/cm3. As for the density of states at the Fermi level: 1.29 states/eV/f.u.

=====

8.
Here is a relaxed Pm4Tl2SeS crystal from Alexandria. Energies are from PBE.

Structure (POSCAR):
```
Pm4Tl2SeS
1.0
4.030 0.000 0.000
0.000 7.033 0.144
0.000 -2.464 7.961
Tl Pm Se S
2 4 1 1
direct
0.500 0.000 0.500 Tl
0.000 0.500 0.500 Tl
0.000 0.745 0.216 Pm
0.000 0.255 0.784 Pm
0.500 0.772 0.791 Pm
0.500 0.228 0.209 Pm
0.500 0.500 0.000 Se
0.000 0.000 0.000 S
```

Summary:
Its uncorrected formation energy is -1.133 eV per atom. Its calculated density is 8.0 g/cm3. As for the density of states at the Fermi level: 4.81 states/eV/f.u.

=====

9.
Here is a relaxed AcLa2Si crystal from Alexandria. Energies are from PBE.

Structure (POSCAR):
```
AcLa2Si
1.0
3.941 0.000 0.000
0.000 3.941 0.000
0.000 0.000 8.365
La Si Ac
2 1 1
direct
0.000 0.000 0.820 La
0.000 0.000 0.180 La
0.500 0.500 0.000 Si
0.500 0.500 0.500 Ac
```

Summary:
Its uncorrected formation energy is -0.276 eV per atom. The relative energy among the computed polymorphs comes out at 88 meV/atom. Its calculated density is 6.8 g/cm3. As for the density of states at the Fermi level: 5.44 states/eV/f.u.

=====

10.
Here is a relaxed Tb4Pd3Au crystal from Alexandria. Energies are from PBE.

Structure (POSCAR):
```
Tb4Pd3Au
1.0
-1.996 1.193 2.950
-3.925 -1.203 -2.170
0.583 -9.686 4.313
Au Pd Tb
1 3 4
direct
0.500 0.500 0.085 Au
0.000 0.500 0.586 Pd
0.500 0.000 0.913 Pd
0.000 0.000 0.414 Pd
0.000 0.000 0.140 Tb
0.000 0.500 0.858 Tb
0.500 0.000 0.637 Tb
0.500 0.500 0.368 Tb
```

Summary:
The formation energy is -87.0 kJ per mole of atoms. Its calculated density is 10.3 g/cm3. As for the density of states at the Fermi level: 5.36 states/eV/f.u.

=====

11.
Here is a relaxed Ag3PtAu3 crystal from Alexandria. Energies are from PBE.

Structure (POSCAR):
```
Ag3PtAu3
1.0
8.527 -0.437 -1.590
-3.099 7.955 -1.590
-1.324 -1.834 5.119
Au Ag Pt
6 6 2
direct
0.328 0.328 0.391 Au
0.672 0.672 0.609 Au
0.186 0.814 0.500 Au
0.167 0.833 0.000 Au
0.814 0.186 0.500 Au
0.833 0.167 0.000 Au
0.005 0.005 0.266 Ag
0.188 0.521 0.661 Ag
0.479 0.812 0.339 Ag
0.812 0.479 0.339 Ag
0.521 0.188 0.661 Ag
0.995 0.995 0.734 Ag
0.659 0.659 0.077 Pt
0.341 0.341 0.923 Pt
```

Summary:
The formation energy is 18.2 kJ per mole of atoms. The relative energy among the computed polymorphs comes out at 21 meV/atom. Its calculated density is 12.8 g/cm3. As for the density of states at the Fermi level: 2.32 states/eV/f.u.